Record 1
Here is a geometry-optimized KBa5Cd4 structure from Alexandria. Energies are from PBE.

Calculated values
formation energy from the elements: -2.53 eV/f.u.
magnetization: 0.0 μB per cell
density: 4.436 g/cm³

a b c (Å): 4.2892 4.2892 23.9181
angles (deg): 90.00 90.00 90.00
Last column: nearest neighbours and their distance in Å.
Space group P4/mmm (No. 123)
Asymmetric unit:
K 0.0000 0.0000 0.0000 (multiplicity 1)  4 K 4.29, 8 Ba 4.69
Ba 0.5000 0.5000 0.1493 (multiplicity 2)  4 Cd 3.61
Ba 0.5000 0.5000 0.3226 (multiplicity 2)  8 Cd 3.70-3.73, 1 Ba 4.14
Ba 0.5000 0.5000 0.5000 (multiplicity 1)  8 Cd 3.70
Cd 0.0000 0.0000 0.2315 (multiplicity 2)  8 Ba 3.61-3.73
Cd 0.0000 0.0000 0.4115 (multiplicity 2)  8 Ba 3.70


Record 2
Here is a geometry-optimized Ce2Pm5Sb4 structure from Alexandria. Energies are from PBE.

Calculated values
magnetization: 1.1 μB per cell
raw formation energy: -0.700 eV/atom
density: 7.039 g/cm³

a b c (Å): 18.6746 4.2944 9.1949
angles (deg): 90.00 107.30 90.00
Last column: nearest neighbours and their distance in Å.
Space group C2/m (No. 12)
Asymmetric unit:
Ce 0.2006 0.0000 0.4432 (multiplicity 4)  2 Ce 2.82
Pm 0.0000 0.0000 0.0000 (multiplicity 2)  6 Sb 3.07-3.33
Pm 0.1035 0.5000 0.6556 (multiplicity 4)  4 Sb 3.05-3.29
Pm 0.2007 0.5000 0.1469 (multiplicity 4)  4 Sb 3.06-3.21
Sb 0.0623 0.5000 0.2869 (multiplicity 4)  5 Pm 3.21-3.33, 2 Ce 3.34
Sb 0.1436 0.0000 0.9025 (multiplicity 4)  6 Pm 3.05-3.07


Record 3
Here is a geometry-optimized KTlSb2 structure from Alexandria. Energies are from PBE.

Calculated values
polymorph energy (0 for the lowest one): 0.0849 eV/atom
magnetization: 0.0 μB per cell
raw formation energy: -0.124 eV/atom
density: 6.587 g/cm³

a b c (Å): 4.7782 4.7782 5.3774
angles (deg): 90.00 90.00 90.00
Last column: nearest neighbours and their distance in Å.
Space group P4/mmm (No. 123)
Asymmetric unit:
K 0.0000 0.0000 0.0000 (multiplicity 1)  4 Tl 3.38, 8 Sb 3.60
Tl 0.5000 0.5000 0.0000 (multiplicity 1)  4 K 3.38, 8 Sb 3.60
Sb 0.0000 0.5000 0.5000 (multiplicity 2)  4 Sb 3.38, 4 K 3.60, 4 Tl 3.60


Record 4
Here is a geometry-optimized TmMnIn structure from Alexandria. Energies are from PBE.

Calculated values
formation energy from the elements: -0.27 eV/f.u.
magnetization: 3.5 μB per cell
density: 8.394 g/cm³

a b c (Å): 4.7465 4.7465 3.4340
angles (deg): 90.00 90.00 120.00
Last column: nearest neighbours and their distance in Å.
Space group P-6m2 (No. 187)
Asymmetric unit:
Tm 0.0000 0.0000 0.0000 (multiplicity 1)  6 In 3.23, 6 Mn 3.23, 2 Tm 3.43
Mn 0.3333 0.6667 0.5000 (multiplicity 1)  3 In 2.74
In 0.6667 0.3333 0.5000 (multiplicity 1)  3 Mn 2.74


Record 5
Here is a geometry-optimized KNa3C structure from Alexandria. Energies are from PBE.

Calculated values
formation energy from the elements: 3.75 eV/f.u.
polymorph energy (0 for the lowest one): 0.0000 eV/atom
magnetization: 0.0 μB per cell
density: 1.425 g/cm³

a b c (Å): 5.1921 5.1921 5.1921
angles (deg): 90.00 90.00 90.00
Last column: nearest neighbours and their distance in Å.
Space group Pm-3m (No. 221)
Asymmetric unit:
K 0.0000 0.0000 0.0000 (multiplicity 1)  12 Na 3.67
Na 0.0000 0.5000 0.5000 (multiplicity 3)  2 C 2.60
C 0.5000 0.5000 0.5000 (multiplicity 1)  6 Na 2.60


Record 6
Here is a geometry-optimized LiMnBr2 structure from Alexandria. Energies are from PBE.

Calculated values
polymorph energy (0 for the lowest one): 0.0000 eV/atom
magnetization: 12.0 μB per cell
raw formation energy: -0.650 eV/atom
density: 3.644 g/cm³

a b c (Å): 3.8625 3.8625 23.4568
angles (deg): 90.00 90.00 120.00
Last column: nearest neighbours and their distance in Å.
Space group R-3m (No. 166, hexagonal axes)
Asymmetric unit:
Li 0.0000 0.0000 0.0000 (multiplicity 3)  6 Br 2.69
Mn 0.0000 0.0000 0.5000 (multiplicity 3)  2 Br 2.41
Br 0.0000 0.0000 0.3974 (multiplicity 6)  1 Mn 2.41, 3 Li 2.69


Record 7
Here is a geometry-optimized Ho12MgSc6 structure from Alexandria. Energies are from PBE.

Calculated values
formation energy from the elements: 2.67 eV/f.u.
magnetization: 0.0 μB per cell
density: 6.790 g/cm³

a b c (Å): 11.4311 11.4311 14.7388
angles (deg): 90.00 90.00 120.00
Last column: nearest neighbours and their distance in Å.
Space group R-3 (No. 148, hexagonal axes)
Asymmetric unit:
Ho 0.0086 0.1838 0.3153 (multiplicity 18)  4 Sc 3.31-3.61, 1 Mg 3.41, 6 Ho 3.41-3.70
Ho 0.0464 0.8466 0.9131 (multiplicity 18)  3 Sc 3.18-3.38, 4 Ho 3.29-3.51
Mg 0.0000 0.0000 0.5000 (multiplicity 3)  6 Sc 3.21, 6 Ho 3.41
Sc 0.0251 0.4330 0.1916 (multiplicity 18)  6 Ho 3.18-3.38, 1 Mg 3.21, 2 Sc 3.27


Record 8
Here is a geometry-optimized La2Pm2DyAg5 structure from Alexandria. Energies are from PBE.

Calculated values
formation energy from the elements: -1.31 eV/f.u.
magnetization: 0.0 μB per cell
density: 7.939 g/cm³

a b c (Å): 11.1427 11.1427 4.2779
angles (deg): 90.00 90.00 90.00
Last column: nearest neighbours and their distance in Å.
Space group P4/mbm (No. 127)
Asymmetric unit:
La 0.1730 0.3270 0.0000 (multiplicity 4)  3 Pm 3.11-3.41, 2 Ag 3.46
Pm 0.1297 0.6297 0.0000 (multiplicity 4)  6 Ag 2.96-3.08, 1 La 3.11
Dy 0.0000 0.0000 0.0000 (multiplicity 2)  8 Ag 3.04
Ag 0.0000 0.5000 0.5000 (multiplicity 2)  4 Pm 2.96
Ag 0.0604 0.8155 0.5000 (multiplicity 8)  2 Dy 3.04, 2 Ag 3.06, 2 Pm 3.08


Record 9
Here is a geometry-optimized BaCuW structure from Alexandria. Energies are from PBE.

Calculated values
formation energy from the elements: 4.80 eV/f.u.
polymorph energy (0 for the lowest one): 0.6483 eV/atom
magnetization: 16.5 μB per cell
density: 7.494 g/cm³

a b c (Å): 6.9863 6.9863 6.9863
angles (deg): 90.00 90.00 90.00
Last column: nearest neighbours and their distance in Å.
Space group F-43m (No. 216)
Asymmetric unit:
Ba 0.0000 0.0000 0.0000 (multiplicity 4)  4 Cu 3.03
Cu 0.2500 0.2500 0.2500 (multiplicity 4)  4 W 3.03, 4 Ba 3.03
W 0.0000 0.0000 0.5000 (multiplicity 4)  4 Cu 3.03


Record 10
Here is a geometry-optimized TlGa2Sn structure from Alexandria. Energies are from PBE.

Calculated values
formation energy from the elements: 0.26 eV/f.u.
polymorph energy (0 for the lowest one): 0.0113 eV/atom
magnetization: 0.0 μB per cell
density: 7.710 g/cm³

a b c (Å): 3.6583 3.6583 7.4439
angles (deg): 90.00 90.00 90.00
Last column: nearest neighbours and their distance in Å.
Space group P4/mmm (No. 123)
Asymmetric unit:
Tl 0.0000 0.0000 0.0000 (multiplicity 1)  8 Ga 3.33, 4 Tl 3.66, 2 Sn 3.72
Ga 0.5000 0.5000 0.2819 (multiplicity 2)  4 Sn 3.05, 1 Ga 3.25, 4 Tl 3.33
Sn 0.0000 0.0000 0.5000 (multiplicity 1)  8 Ga 3.05


Record 11
Here is a geometry-optimized NaCe2Nd3Se6 structure from Alexandria. Energies are from PBE.

Calculated values
magnetization: 4.2 μB per cell
raw formation energy: -1.783 eV/atom
density: 6.281 g/cm³

a b c (Å): 18.4383 4.2035 8.4869
angles (deg): 90.00 103.50 90.00
Last column: nearest neighbours and their distance in Å.
Space group C2/m (No. 12)
Asymmetric unit:
Na 0.0000 0.0000 0.0000 (multiplicity 2)  6 Se 2.98
Ce 0.1671 0.5000 0.3359 (multiplicity 4)  6 Se 2.97-3.00
Nd 0.0000 0.0000 0.5000 (multiplicity 2)  6 Se 2.98-2.99
Nd 0.1651 0.5000 0.8281 (multiplicity 4)  6 Se 2.97-3.03
Se 0.0015 0.5000 0.2494 (multiplicity 4)  1 Ce 2.97, 2 Na 2.98, 3 Nd 2.99
Se 0.1661 0.0000 0.0831 (multiplicity 4)  1 Na 2.98, 2 Ce 3.00, 3 Nd 3.01-3.03
Se 0.1660 0.0000 0.5820 (multiplicity 4)  3 Nd 2.97-2.98, 3 Ce 2.97-2.99


Record 12
Here is a geometry-optimized Rb3La2TbO6 structure from Alexandria. Energies are from PBE.

Calculated values
magnetization: 0.0 μB per cell
raw formation energy: -2.633 eV/atom
density: 5.656 g/cm³

a b c (Å): 6.3699 11.0379 6.9232
angles (deg): 90.00 107.83 90.00
Last column: nearest neighbours and their distance in Å.
Space group C2/m (No. 12)
Asymmetric unit:
Rb 0.0000 0.0000 0.0000 (multiplicity 2)  6 O 2.97-3.05
Rb 0.0000 0.3353 0.0000 (multiplicity 4)  6 O 2.96-3.07
La 0.0000 0.1667 0.5000 (multiplicity 4)  6 O 2.46-2.47
Tb 0.0000 0.5000 0.5000 (multiplicity 2)  6 O 2.36
O 0.2201 0.3396 0.6791 (multiplicity 8)  1 Tb 2.36, 2 La 2.46-2.47
O 0.2386 0.0000 0.6790 (multiplicity 4)  1 Tb 2.36, 2 La 2.47


Question: Which value of density does entry 5 give?
Answer: 1.425 g/cm³